[1]
VASP calculation (PBE-GGA) on a relaxed structure of La2Nd5N5.

a b c (Å): 6.374 6.374 13.199
angles (deg): 103.49 103.49 32.21
Fractional positions:
La1 0.065 0.065 0.312
La2 0.935 0.935 0.688
Nd1 0.279 0.279 0.118
Nd2 0.352 0.352 0.440
Nd3 0.500 0.500 0.000
Nd4 0.648 0.648 0.560
Nd5 0.721 0.721 0.882
N1 0.000 0.000 0.500
N2 0.132 0.132 0.955
N3 0.317 0.317 0.609
N4 0.683 0.683 0.391
N5 0.868 0.868 0.045

## Properties
- Raw formation energy: -0.966 eV/atom
- Theoretical density: 6.4 g/cm³
- Total energy: -86.92 eV/cell

[2]
VASP calculation (PBE-GGA) on a relaxed structure of Rb2AcMg2Se4.

a b c (Å): 8.777 8.777 8.641
angles (deg): 110.20 110.20 28.80
Fractional positions:
Rb1 0.124 0.124 0.046
Rb2 0.876 0.876 0.954
Ac1 0.000 0.000 0.500
Mg1 0.326 0.326 0.524
Mg2 0.674 0.674 0.476
Se1 0.206 0.206 0.662
Se2 0.474 0.474 0.745
Se3 0.526 0.526 0.255
Se4 0.794 0.794 0.338

## Properties
- Raw formation energy: -1.318 eV/atom
- Theoretical density: 4.2 g/cm³
- Total energy: -35.04 eV/cell

[3]
VASP calculation (PBE-GGA) on a relaxed structure of Ca2TlIn.

a b c (Å): 3.865 3.865 8.639
angles (deg): 90.00 90.00 90.00
Fractional positions:
Ca1 0.000 0.000 0.000
Ca2 0.500 0.500 0.337
Tl1 0.500 0.500 0.770
In1 0.000 0.000 0.567

## Properties
- Energy relative to the elements: -0.22 eV per atom
- Theoretical density: 5.1 g/cm³
- Total energy: -9.98 eV/cell

[4]
VASP calculation (PBE-GGA) on a relaxed structure of LiFeMo3.

a b c (Å): 4.145 4.145 4.145
angles (deg): 90.00 90.00 90.00
Fractional positions:
Li1 0.000 0.000 0.000
Fe1 0.500 0.500 0.500
Mo1 0.000 0.000 0.500
Mo2 0.000 0.500 0.000
Mo3 0.500 0.000 0.000

## Properties
- Energy relative to the elements: 1.46 eV per atom
- Theoretical density: 8.2 g/cm³
- Total energy: -35.55 eV/cell

[5]
VASP calculation (PBE-GGA) on a relaxed structure of Nb2CrSe4S2.

a b c (Å): 3.353 3.353 20.906
angles (deg): 90.00 90.00 120.00
Fractional positions:
Nb1 0.000 0.000 0.000
Nb2 0.333 0.667 0.339
Cr1 0.333 0.667 0.683
Se1 0.000 0.000 0.256
Se2 0.000 0.000 0.422
Se3 0.333 0.667 0.083
Se4 0.333 0.667 0.917
S1 0.000 0.000 0.617
S2 0.000 0.000 0.749

## Properties
- Raw formation energy: -0.702 eV/atom
- Theoretical density: 5.0 g/cm³
- Total energy: -58.27 eV/cell

[6]
VASP calculation (PBE-GGA) on a relaxed structure of CaZn2AgF.

a b c (Å): 5.910 5.910 4.161
angles (deg): 90.00 90.00 90.00
Fractional positions:
Ca1 0.000 0.000 0.000
Zn1 0.000 0.500 0.000
Zn2 0.500 0.000 0.000
Ag1 0.500 0.500 0.500
F1 0.000 0.000 0.500

## Properties
- Raw formation energy: -0.484 eV/atom
- Theoretical density: 3.4 g/cm³
- Total energy: -11.69 eV/cell